w:
Density functional theory data (GGA-PBE) for crystalline AgHS at its relaxed geometry.

abc: 4.503 4.496 7.425
angles: 98.59 100.64 90.56
Sites, in units of the cell vectors:
S (0.710, 0.224, 0.752)
S (0.290, 0.776, 0.248)
H (0.511, 0.995, 0.301)
H (0.489, 0.005, 0.699)
Ag (0.500, 0.500, 0.000)
Ag (0.000, 0.000, 0.000)

Summary:
- Volume: 24.32 A^3/atom
- D(E_F): 0.00 states/eV/f.u.
- Magnetic moment: 0.00 μB/atom

x:
Density functional theory data (GGA-PBE) for crystalline AgHS at its relaxed geometry.

abc: 3.842 3.809 7.855
angles: 118.49 104.16 90.00
Sites, in units of the cell vectors:
H (0.281, 0.820, 0.562)
H (0.719, 0.180, 0.438)
S (0.384, 0.023, 0.768)
S (0.616, 0.977, 0.232)
Ag (0.095, 0.436, 0.190)
Ag (0.905, 0.564, 0.810)

Summary:
- Volume: 16.17 A^3/atom
- D(E_F): 0.33 states/eV/f.u.
- Magnetic moment: 0.00 μB/atom

y:
Density functional theory data (GGA-PBE) for crystalline AgHS at its relaxed geometry.

abc: 4.788 5.175 4.830
angles: 90.00 99.52 90.00
Sites, in units of the cell vectors:
H (0.384, 0.101, 0.454)
H (0.884, 0.899, 0.954)
S (0.088, 0.795, 0.155)
S (0.588, 0.205, 0.655)
Ag (0.814, 0.500, 0.381)
Ag (0.314, 0.500, 0.881)

Summary:
- Volume: 19.67 A^3/atom
- D(E_F): 0.00 states/eV/f.u.
- Magnetic moment: 0.00 μB/atom

The structure with the greatest stability is y.